BaUTiO6 | the Alexandria database | PBE | optimized geometry; final energy = -79.24 eV per formula unit; energy above the lowest structure with this stoichiometry = 0.00 eV per formula unit; M_tot = 0.00 μB per cell
1.0
-4.629 3.970 6.122
-3.723 -5.435 0.710
5.150 -5.207 7.272
O Ti Ba U
24 4 4 4
direct
0.956 0.691 0.868
0.285 0.917 0.223
0.851 0.000 0.011
0.562 0.932 0.112
0.649 0.000 0.511
0.785 0.083 0.277
0.486 0.265 0.267
0.938 0.932 0.612
0.514 0.735 0.733
0.215 0.917 0.723
0.715 0.083 0.777
0.149 0.000 0.989
0.062 0.068 0.388
0.438 0.068 0.888
0.158 0.624 0.551
0.014 0.265 0.767
0.842 0.376 0.449
0.456 0.309 0.632
0.342 0.624 0.051
0.044 0.309 0.132
0.986 0.735 0.233
0.351 0.000 0.489
0.544 0.691 0.368
0.658 0.376 0.949
0.849 0.115 0.451
0.651 0.115 0.951
0.349 0.885 0.049
0.151 0.885 0.549
0.727 0.531 0.165
0.227 0.469 0.335
0.273 0.469 0.835
0.773 0.531 0.665
0.983 0.978 0.822
0.483 0.022 0.678
0.517 0.978 0.322
0.017 0.022 0.178